Record 1
PBE-GGA Ti2HgPd2, relaxed; N(E_F) = 0.549 states/eV/atom; total magnetic moment = 0.00 μB/f.u.; offset from the most stable computed form = 0.000 eV per atom; DFT formation energy = -0.426 eV per atom; total energy = -5.7217 eV/atom
1.0
-0.963 2.042 2.489
1.945 -4.577 4.508
5.865 5.460 -4.477
Ti Hg Pd
4 2 4
Direct
0.383 0.324 0.765
0.617 0.176 0.235
0.617 0.676 0.235
0.383 0.824 0.765
0.000 0.750 0.000
0.000 0.250 0.000
0.197 0.045 0.393
0.197 0.545 0.393
0.803 0.955 0.607
0.803 0.455 0.607

Record 2
PBE-GGA PrHo2Tl3S6, relaxed; N(E_F) = 0.000 states/eV/atom; total magnetic moment = 0.00 μB/f.u.; ΔE_f (raw) = -1.47 eV per atom; total energy = -5.2878 eV/atom
1.0
7.069 0.001 0.001
-3.532 6.123 0.001
-1.179 -2.041 7.512
Pr Ho Tl S
1 2 3 6
Direct
0.000 0.000 0.000
0.333 0.667 0.000
0.667 0.333 0.000
0.165 0.835 0.500
0.835 0.165 0.500
0.500 0.500 0.500
0.933 0.588 0.800
0.721 0.721 0.198
0.067 0.412 0.200
0.588 0.933 0.800
0.279 0.279 0.802
0.412 0.067 0.200

Record 3
PBE-GGA Ho3CSeCl, relaxed; N(E_F) = 0.298 states/eV/atom; total magnetic moment = 0.65 μB/f.u.; ΔE_f (raw) = -1.18 eV per atom; total energy = -5.8986 eV/atom
1.0
3.754 0.000 0.000
0.000 7.780 0.725
0.000 -1.429 9.905
Ho C Se Cl
6 2 2 2
Direct
0.750 0.846 0.127
0.250 0.154 0.873
0.250 0.626 0.369
0.750 0.374 0.631
0.750 0.406 0.118
0.250 0.594 0.882
0.250 0.630 0.133
0.750 0.370 0.867
0.250 0.132 0.158
0.750 0.868 0.842
0.250 0.130 0.597
0.750 0.870 0.403

Record 4
PBE-GGA Y2MgP, relaxed; N(E_F) = 0.728 states/eV/atom; total magnetic moment = 0.00 μB/f.u.; offset from the most stable computed form = 0.000 eV per atom; DFT formation energy = -0.778 eV per atom; total energy = -5.7609 eV/atom
1.0
3.870 0.004 0.001
1.932 3.354 0.001
1.933 1.119 8.390
Y P Mg
2 1 1
Direct
0.980 0.980 0.059
0.520 0.520 0.441
0.250 0.250 0.250
0.750 0.750 0.750